Entry 1:
## KVSi2Te8 (PBE)

Data for KVSi2Te8 after structural relaxation.

Computed properties:
E (eV per atom): -4.0036
Calculated volume (Å³ per atom): 30.88
Formation energy without anion corrections (meV/atom): -154
Space-group type: R-3 (148)

abc: 6.9899 6.9899 9.6430
angles: 68.75 68.75 60.00
With the nearest neighbours (Å) after each atom.
Atoms (fractional coordinates):
Si  0.2482  0.2482  0.2553  4 Te 2.53-2.57
Te  0.3035  0.9291  0.1508  1 Si 2.57, 1 V 2.74
Te  0.1521  0.1521  0.5437  1 Si 2.53
Te  0.6167  0.3035  0.1508  1 Si 2.57, 1 V 2.74
Te  0.8479  0.8479  0.4563  1 Si 2.53
Te  0.0709  0.3833  0.8492  1 Si 2.57, 1 V 2.74
Te  0.3833  0.6965  0.8492  1 Si 2.57, 1 V 2.74
Te  0.9291  0.6167  0.1508  1 Si 2.57, 1 V 2.74
Si  0.7518  0.7518  0.7447  4 Te 2.53-2.57
K  0.5000  0.5000  0.5000  12 Te 3.76-4.05
Te  0.6965  0.0709  0.8492  1 Si 2.57, 1 V 2.74
V  0.0000  0.0000  0.0000  6 Te 2.74

Entry 2:
## KSiTe2W (PBE)

Data for KSiTe2W after structural relaxation.

Computed properties:
E (eV per atom): -4.4423
Calculated volume (Å³ per atom): 29.73
Formation energy without anion corrections (meV/atom): 709
Space-group type: P4/mmm (123)

abc: 5.5827 4.7692 5.5827
angles: 90.00 90.00 90.00
With the nearest neighbours (Å) after each atom.
Atoms (fractional coordinates):
Si  0.0000  0.0000  0.0000  2 W 2.38
Te  0.5000  0.0000  0.0000  2 Si 2.79
Te  0.0000  0.0000  0.5000  2 Si 2.79
K  0.5000  0.5000  0.5000  8 Te 3.67, 4 W 3.95
W  0.0000  0.5000  0.0000  2 Si 2.38

Entry 3:
## KZn2SiTe4 (PBE)

Data for KZn2SiTe4 after structural relaxation.

Computed properties:
E (eV per atom): -2.9993
Calculated volume (Å³ per atom): 32.86
Formation energy without anion corrections (meV/atom): -295
Space-group type: Fmm2 (42)

abc: 7.3789 7.3789 7.0403
angles: 120.32 120.32 92.10
With the nearest neighbours (Å) after each atom.
Atoms (fractional coordinates):
Si  0.4941  0.4941  0.9881  4 Te 2.55-2.56
Zn  0.2603  0.7603  0.5206  4 Te 2.81-2.84
Te  0.5456  0.5456  0.6822  1 Si 2.56, 2 Zn 2.81
Te  0.8428  0.4510  0.2937  1 Si 2.55, 2 Zn 2.84
Te  0.4510  0.8428  0.2937  1 Si 2.55, 2 Zn 2.84
Zn  0.7603  0.2603  0.5206  4 Te 2.81-2.84
K  0.0097  0.0097  0.0194  6 Te 3.44-3.83
Te  0.1366  0.1366  0.6822  1 Si 2.56, 2 Zn 2.81

Entry 4:
## K2ZnSiTe4 (PBE)

Data for K2ZnSiTe4 after structural relaxation.

Computed properties:
E (eV per atom): -3.2367
Calculated volume (Å³ per atom): 39.35
Formation energy without anion corrections (meV/atom): -554
Space-group type: Fddd (70)

abc: 6.5464 8.0301 13.5182
angles: 84.34 75.99 65.94
With the nearest neighbours (Å) after each atom.
Atoms (fractional coordinates):
Zn  0.0000  0.0000  0.0000  4 Te 2.69
Te  0.8646  0.6996  0.6080  1 Si 2.54, 1 Zn 2.69
Te  0.5777  0.1996  0.1080  1 Si 2.54, 1 Zn 2.69
K  0.8117  0.0000  0.3766  8 Te 3.75-4.20
Te  0.8854  0.8004  0.8920  1 Si 2.54, 1 Zn 2.69
K  0.1883  0.0000  0.6234  8 Te 3.75-4.20
Zn  0.7500  0.5000  0.5000  4 Te 2.69
Si  0.2500  0.5000  0.5000  4 Te 2.54
Te  0.5274  0.3004  0.6080  1 Si 2.54, 1 Zn 2.69
Te  0.3143  0.8004  0.1080  1 Si 2.54, 1 Zn 2.69
Te  0.4357  0.6996  0.3920  1 Si 2.54, 1 Zn 2.69
K  0.9383  0.5000  0.1234  8 Te 3.75-4.20
Si  0.5000  0.0000  0.0000  4 Te 2.54
Te  0.1723  0.3004  0.3920  1 Si 2.54, 1 Zn 2.69
K  0.5617  0.5000  0.8766  8 Te 3.75-4.20
Te  0.2226  0.1996  0.8920  1 Si 2.54, 1 Zn 2.69

Entry 5:
## KTi2Si (PBE)

Data for KTi2Si after structural relaxation.

Computed properties:
E (eV per atom): -4.7824
Calculated volume (Å³ per atom): 27.55
Formation energy without anion corrections (meV/atom): 795
Space-group type: I-42d (122)

abc: 4.8688 4.8688 9.9153
angles: 75.79 75.79 90.00
With the nearest neighbours (Å) after each atom.
Atoms (fractional coordinates):
Ti  0.3750  0.6421  0.7500  2 Ti 2.44, 2 Si 2.63
Ti  0.3579  0.1250  0.2500  2 Ti 2.44, 2 Si 2.63
Ti  0.3921  0.6250  0.2500  2 Ti 2.44, 2 Si 2.63
Ti  0.8750  0.6079  0.7500  2 Ti 2.44, 2 Si 2.63
K  0.0000  0.0000  0.0000  4 Si 3.44, 8 Ti 3.52-3.64
K  0.7500  0.2500  0.5000  4 Si 3.44, 8 Ti 3.52-3.64
Si  0.5000  0.5000  0.0000  4 Ti 2.63
Si  0.2500  0.7500  0.5000  4 Ti 2.63

Entry 6:
## K2TiSi (PBE)

Data for K2TiSi after structural relaxation.

Computed properties:
E (eV per atom): -3.2810
Calculated volume (Å³ per atom): 50.25
Formation energy without anion corrections (meV/atom): 597
Space-group type: I-42d (122)

abc: 12.6865 12.6865 9.3119
angles: 47.06 47.06 90.00
With the nearest neighbours (Å) after each atom.
Atoms (fractional coordinates):
Ti  0.7500  0.2500  0.5000  2 Si 2.50
K  0.3750  0.5517  0.7500  2 Si 3.36
Si  0.2500  0.7500  0.5000  2 Ti 2.50
Si  0.5000  0.5000  0.0000  2 Ti 2.50
Ti  0.0000  0.0000  0.0000  2 Si 2.50
K  0.4483  0.1250  0.2500  2 Si 3.36
K  0.8750  0.6983  0.7500  2 Si 3.36
K  0.3017  0.6250  0.2500  2 Si 3.36

Look up the calculated volume of the fourth one. 39.35 Å³ per atom